Computed, not measured: a relaxed structure of Tm5Lu2Ni2Te2 at the PBE-GGA level of DFT.

Geometry as POSCAR:
```
Tm5Lu2Ni2Te2
1.0
-1.9043 7.6541 4.7178
1.9043 -7.6541 4.7178
1.9043 7.6541 -4.7178
Tm Lu Ni Te
5 2 2 2
Cartesian
0.0000 0.0000 0.0000
1.9043 2.8356 -1.1672
1.9043 -2.2420 2.1572
1.9043 2.2420 2.1572
0.0000 4.8185 3.5506
1.9043 5.5896 0.7714
0.0000 2.0646 5.4892
0.0000 3.6251 0.6534
0.0000 11.6831 0.6534
0.0000 0.0000 3.2010
0.0000 7.6541 2.1931
```

Relative energy among the computed polymorphs   0.005 eV per atom
V   25.01 Å³/atom
Total magnetic moment   0.00 μB per formula unit
Final energy   -5.12 eV per atom